No. 1
This record from Alexandria describes an optimized crystal structure of PmNdMnAl. The functional is PBE.

Values from the calculation:
**Formation energy**: 0.0 eV per formula unit

a = 7.4033 Å, b = 7.4033 Å, c = 7.4033 Å
α = 90.00°, β = 90.00°, γ = 90.00°
Space group F-43m (No. 216)
One atom of each set of equivalent atoms:
Pm (0.0000, 0.0000, 0.0000) (multiplicity 4)
Nd (0.0000, 0.0000, 0.5000) (multiplicity 4)
Mn (0.2500, 0.2500, 0.7500) (multiplicity 4)
Al (0.2500, 0.2500, 0.2500) (multiplicity 4)

=====

No. 2
This record from Alexandria describes an optimized crystal structure of Nd2MnAl4Pt3. The functional is PBE.

Values from the calculation:
**Formation energy**: -9.0 eV per formula unit

a = 4.2367 Å, b = 4.2367 Å, c = 10.6848 Å
α = 90.00°, β = 90.00°, γ = 90.00°
Space group P-4m2 (No. 115)
One atom of each set of equivalent atoms:
Nd (0.0000, 0.5000, 0.2485) (multiplicity 2)
Mn (0.5000, 0.5000, 0.0000) (multiplicity 1)
Al (0.0000, 0.0000, 0.5000) (multiplicity 1)
Al (0.0000, 0.5000, 0.8682) (multiplicity 2)
Al (0.5000, 0.5000, 0.5000) (multiplicity 1)
Pt (0.0000, 0.0000, 0.0000) (multiplicity 1)
Pt (0.0000, 0.5000, 0.6318) (multiplicity 2)

=====

No. 3
This record from Alexandria describes an optimized crystal structure of Nd2MnAl3Pt4. The functional is PBE.

Values from the calculation:
**Formation energy**: -9.7 eV per formula unit

a = 4.2785 Å, b = 4.2785 Å, c = 10.5171 Å
α = 90.00°, β = 90.00°, γ = 90.00°
Space group P-4m2 (No. 115)
One atom of each set of equivalent atoms:
Nd (0.0000, 0.5000, 0.2483) (multiplicity 2)
Mn (0.0000, 0.0000, 0.5000) (multiplicity 1)
Al (0.0000, 0.5000, 0.8744) (multiplicity 2)
Al (0.5000, 0.5000, 0.5000) (multiplicity 1)
Pt (0.0000, 0.0000, 0.0000) (multiplicity 1)
Pt (0.0000, 0.5000, 0.6381) (multiplicity 2)
Pt (0.5000, 0.5000, 0.0000) (multiplicity 1)